Record 1
# Se6Br7

A relaxed Se6Br7 crystal (PBE-GGA, the Alexandria database).

Geometry as POSCAR:
```
Se6Br7
1.0
4.181 2.414 9.197
-4.181 2.414 9.197
0.000 -4.828 9.197
Se Br
6 7
Cartesian
0.000 0.000 0.000
0.000 0.000 2.202
0.000 0.000 4.799
0.000 0.000 6.995
0.000 0.000 11.581
0.000 0.000 23.674
-1.894 -1.093 10.552
-2.068 -1.194 14.812
1.894 -1.093 10.552
0.000 2.187 10.552
0.000 0.000 18.617
2.068 -1.194 14.812
0.000 2.388 14.812
```

Calculated values
* mass density: 3.1 g/cm³
* M_tot: 1.0 μB per cell
* formation energy from raw total energies: 0.118 eV per atom

***

Record 2
# Se3Br5

A relaxed Se3Br5 crystal (PBE-GGA, the Alexandria database).

Geometry as POSCAR:
```
Se3Br5
1.0
8.224 0.000 0.000
-4.112 7.122 0.000
0.000 0.000 7.477
Se Br
6 10
Cartesian
-1.464 2.536 1.869
-2.648 4.586 5.607
2.929 0.000 1.869
1.464 2.536 5.607
5.295 0.000 5.607
2.648 4.586 1.869
-1.008 1.746 5.607
-3.104 5.377 1.869
2.016 0.000 5.607
1.008 1.746 1.869
0.000 4.748 0.000
0.000 4.748 3.738
4.112 2.374 0.000
4.112 2.374 3.738
6.208 0.000 1.869
3.104 5.377 5.607
```

Calculated values
* excess energy over the best structure of this formula in the dataset: 0.254 eV/atom
* mass density: 4.8 g/cm³
* M_tot: 0.0 μB per cell
* formation energy from raw total energies: 0.357 eV per atom

***

Record 3
# Se5Br

A relaxed Se5Br crystal (PBE-GGA, the Alexandria database).

Geometry as POSCAR:
```
Se5Br
1.0
3.701 0.000 0.000
0.000 1.954 10.722
0.000 -1.954 10.722
Se Br
5 1
Cartesian
0.000 0.000 0.000
0.000 0.000 6.352
0.000 0.000 14.097
1.851 0.000 1.618
1.851 0.000 15.890
1.851 0.000 8.542
```

Calculated values
* excess energy over the best structure of this formula in the dataset: 0.110 eV/atom
* mass density: 5.1 g/cm³
* M_tot: 0.0 μB per cell
* formation energy from raw total energies: 0.277 eV per atom

***

Record 4
# Se5Br3

A relaxed Se5Br3 crystal (PBE-GGA, the Alexandria database).

Geometry as POSCAR:
```
Se5Br3
1.0
3.866 -8.535 0.000
3.866 8.535 0.000
0.000 0.000 3.848
Se Br
5 3
Cartesian
0.000 0.000 0.000
1.933 4.268 0.000
1.764 0.000 1.924
1.933 -4.268 0.000
5.967 0.000 1.924
3.866 4.255 1.924
3.866 0.000 0.000
3.866 -4.255 1.924
```

Calculated values
* mass density: 4.1 g/cm³
* M_tot: 0.0 μB per cell
* formation energy from raw total energies: 0.303 eV per atom